Here is crystalline CuNiI2 at its relaxed geometry from Alexandria via LeMat-Bulk. Energies are from PBE.

a b c (Å): 5.976 5.976 7.301
angles (deg): 65.84 65.84 90.00
Each line ends with the local moment (μB).
Fractional positions:
I: 0.615 0.125 0.250  0.07
I: 0.135 0.625 0.250  0.06
I: 0.375 0.385 0.750  0.07
I: 0.875 0.865 0.750  0.06
Ni: 0.500 0.500 0.000  0.72
Ni: 0.250 0.750 0.500  0.73
Cu: 0.000 0.000 0.000  0.05
Cu: 0.750 0.250 0.500  0.05

Formation energy without anion corrections   0.04 eV/atom
Symmetry   I-42d (122)
Energy above the lowest structure with this stoichiometry   0.0 meV/atom